1.
A plane-wave DFT calculation with PBE was carried out for a relaxed Fe3TeCl crystal.

Output
Mass density (g/cm³): 4.7
D(E_F) (states/eV per atom): 1.54
Excess energy over the best structure of this formula in the dataset (eV per formula unit): 1.463
VASP energy (eV for the cell shown): -25.2

abc: 4.9032 4.9032 4.9032
angles: 90.00 90.00 90.00
Closest atoms and distances in Å follow each position.
Fractional positions:
Fe: 0.0000 0.0000 0.5000  2 Te 2.45
Fe: 0.0000 0.5000 0.0000  2 Te 2.45
Fe: 0.5000 0.0000 0.0000  2 Te 2.45
Te: 0.0000 0.0000 0.0000  6 Fe 2.45
Cl: 0.5000 0.5000 0.5000  12 Fe 3.47

2.
A plane-wave DFT calculation with PBE was carried out for a relaxed FeTeCl2 crystal.

Output
Mass density (g/cm³): 5.1
D(E_F) (states/eV per atom): 1.11
Excess energy over the best structure of this formula in the dataset (eV per formula unit): 2.989
VASP energy (eV for the cell shown): -13.8

abc: 4.9005 4.9005 4.9005
angles: 60.00 60.00 60.00
Closest atoms and distances in Å follow each position.
Fractional positions:
Fe: 0.0000 0.0000 0.0000  4 Cl 3.00, 4 Te 3.00
Te: 0.7500 0.7500 0.7500  4 Cl 3.00, 4 Fe 3.00
Cl: 0.2500 0.2500 0.2500  4 Cl 3.00, 4 Fe 3.00
Cl: 0.5000 0.5000 0.5000  4 Te 3.00, 4 Cl 3.00

3.
A plane-wave DFT calculation with PBE was carried out for a relaxed FeTe2Cl crystal.

Output
Mass density (g/cm³): 5.4
D(E_F) (states/eV per atom): 1.21
Excess energy over the best structure of this formula in the dataset (eV per formula unit): 0.093
VASP energy (eV for the cell shown): -17.1

abc: 5.0215 4.0311 5.4998
angles: 90.00 108.19 90.00
Closest atoms and distances in Å follow each position.
Fractional positions:
Fe: 0.0000 0.0000 0.0000  2 Cl 2.51, 4 Te 2.64
Te: 0.1546 0.5000 0.3251  2 Fe 2.64, 1 Te 2.82
Te: 0.8454 0.5000 0.6749  2 Fe 2.64, 1 Te 2.82
Cl: 0.5000 0.0000 0.0000  2 Fe 2.51

4.
A plane-wave DFT calculation with PBE was carried out for a relaxed FeTeCl crystal.

Output
Mass density (g/cm³): 4.7
D(E_F) (states/eV per atom): 1.35
VASP energy (eV for the cell shown): -13.7

abc: 8.0038 7.6297 3.4554
angles: 83.37 71.24 25.39
Closest atoms and distances in Å follow each position.
Fractional positions:
Fe: 0.0000 0.0000 0.0000  2 Cl 2.36, 2 Te 2.63
Te: 0.6328 0.6328 0.3672  2 Fe 2.63
Cl: 0.3927 0.3927 0.6073  2 Fe 2.36

5.
A plane-wave DFT calculation with PBE was carried out for a relaxed FeTe3Cl crystal.

Output
Mass density (g/cm³): 5.9
D(E_F) (states/eV per atom): 1.27
Excess energy over the best structure of this formula in the dataset (eV per formula unit): 0.000
VASP energy (eV for the cell shown): -18.4

abc: 5.0994 5.0994 5.0994
angles: 90.00 90.00 90.00
Closest atoms and distances in Å follow each position.
Fractional positions:
Fe: 0.0000 0.0000 0.0000  6 Te 2.55
Te: 0.0000 0.0000 0.5000  2 Fe 2.55
Te: 0.0000 0.5000 0.0000  2 Fe 2.55
Te: 0.5000 0.0000 0.0000  2 Fe 2.55
Cl: 0.5000 0.5000 0.5000  12 Te 3.61

6.
A plane-wave DFT calculation with PBE was carried out for a relaxed FeTe2Cl crystal.

Output
Mass density (g/cm³): 6.0
D(E_F) (states/eV per atom): 1.78
Excess energy over the best structure of this formula in the dataset (eV per formula unit): 3.305
VASP energy (eV for the cell shown): -13.9

abc: 11.4134 11.4134 11.4134
angles: 15.81 15.81 15.81
Closest atoms and distances in Å follow each position.
Fractional positions:
Fe: 0.0000 0.0000 0.0000  2 Te 2.45
Te: 0.0724 0.0724 0.0724  1 Fe 2.45
Te: 0.9276 0.9276 0.9276  1 Fe 2.45
Cl: 0.5000 0.5000 0.5000  6 Cl 3.14

Q: Look up the mass density of the third one.
A: 5.4 g/cm³

Q: Look up the D(E_F) of the fifth one.
A: 1.27 states/eV per atom

Q: mass density of number 3 (FeTe2Cl)?
A: 5.4 g/cm³